Entry 1:
The following is a GGA-PBEsol calculation of a relaxed CaRu2IBr crystal, from Alexandria via LeMat-Bulk.

**Crystal system**: tetragonal
**Formation energy without anion corrections**: 0.9031 eV per atom
**Calculated total energy**: -4.3198 eV/atom
**Total magnetic moment**: 0.881 μB/cell

a b c (Å): 4.7153 4.7153 6.3082
angles (deg): 90.00 90.00 90.00
Last column: nearest neighbours and their distance in Å.
Space group P4/mmm (No. 123)
Unique sites:
Ca1 0.0000 0.0000 0.0000 x1  4 Br 3.33
Ru1 0.0000 0.5000 0.5000 x2  2 I 2.36
I1 0.5000 0.5000 0.5000 x1  4 Ru 2.36
Br1 0.5000 0.5000 0.0000 x1  2 I 3.15, 4 Ca 3.33



Entry 2:
The following is a GGA-PBEsol calculation of a relaxed Fe2PCl crystal, from Alexandria via LeMat-Bulk.

**Crystal system**: cubic
**Formation energy without anion corrections**: 0.7724 eV per atom
**Calculated total energy**: -5.6591 eV/atom
**Total magnetic moment**: 22.219 μB/cell

a b c (Å): 6.0106 6.0106 6.0106
angles (deg): 90.00 90.00 90.00
Last column: nearest neighbours and their distance in Å.
Space group F-43m (No. 216)
Unique sites:
Fe1 0.0000 0.0000 0.0000 x4  4 Fe 2.60, 4 P 2.60
Fe2 0.2500 0.2500 0.2500 x4  4 Cl 2.60, 4 Fe 2.60
P1 0.2500 0.2500 0.7500 x4  4 Cl 2.60, 4 Fe 2.60
Cl1 0.0000 0.0000 0.5000 x4  4 Fe 2.60, 4 P 2.60



Entry 3:
The following is a GGA-PBEsol calculation of a relaxed Li2CuW2O8 crystal, from Alexandria via LeMat-Bulk.

**Crystal system**: triclinic
**Formation energy without anion corrections**: -1.9372 eV per atom
**Calculated total energy**: -7.9277 eV/atom
**Total magnetic moment**: 0.983 μB/cell

a b c (Å): 4.9812 5.4328 5.8567
angles (deg): 72.12 85.44 66.46
Last column: nearest neighbours and their distance in Å.
Space group P-1 (No. 2)
Unique sites:
Li1 0.0601 0.4202 0.2708 x2  5 O 1.99-2.18
Cu1 0.5000 0.5000 0.5000 x1  4 O 1.91-1.94
W1 0.2744 0.9664 0.8396 x2  5 O 1.80-2.01
O1 0.1453 0.7780 0.1457 x2  2 W 1.97-2.01, 1 Li 2.06
O2 0.2436 0.7453 0.6780 x2  1 W 1.80, 1 Cu 1.94, 1 Li 2.01
O3 0.2798 0.2699 0.5863 x2  1 W 1.86, 1 Cu 1.91, 1 Li 1.99
O4 0.3344 0.2077 0.0645 x2  1 W 1.84, 1 Li 2.00



Entry 4:
The following is a GGA-PBEsol calculation of a relaxed MgAs4 crystal, from Alexandria via LeMat-Bulk.

**Formation energy**: -197 meV/atom
**Crystal system**: tetragonal
**Calculated total energy**: -4.6257 eV/atom
**Total magnetic moment**: 0.000 μB/cell

a b c (Å): 5.3874 5.3874 15.8828
angles (deg): 90.00 90.00 90.00
Last column: nearest neighbours and their distance in Å.
Space group P4_12_12 (No. 92)
Unique sites:
Mg1 0.1955 0.1955 0.0000 x4  6 As 2.71-2.91
As1 0.0258 0.8991 0.1251 x8  2 As 2.43-2.44, 2 Mg 2.71-2.72
As2 0.0641 0.6747 0.7967 x8  3 As 2.43-2.48



Entry 5:
The following is a GGA-PBEsol calculation of a relaxed K3W2Cl9 crystal, from Alexandria via LeMat-Bulk.

**Crystal system**: hexagonal
**Formation energy without anion corrections**: -1.3088 eV per atom
**Calculated total energy**: -4.8149 eV/atom
**Total magnetic moment**: 0.000 μB/cell

a b c (Å): 7.2042 7.2042 15.8138
angles (deg): 90.00 90.00 120.00
Last column: nearest neighbours and their distance in Å.
Space group P6_3/m (No. 176)
Unique sites:
K1 0.0000 0.0000 0.2500 x2  9 Cl 3.15-3.33
K2 0.3333 0.6667 0.0730 x4  9 Cl 3.21-3.47
W1 0.3333 0.6667 0.6755 x4  1 W 2.36, 6 Cl 2.38-2.51
Cl1 0.0138 0.5701 0.2500 x6  2 W 2.51
Cl2 0.1192 0.7669 0.5938 x12  1 W 2.38



Entry 6:
The following is a GGA-PBEsol calculation of a relaxed Hf2BeAlRu crystal, from Alexandria via LeMat-Bulk.

**Formation energy**: 1128 meV/atom
**Crystal system**: tetragonal
**Calculated total energy**: -6.7263 eV/atom
**Total magnetic moment**: 0.000 μB/cell

a b c (Å): 4.8663 4.8663 4.2771
angles (deg): 90.00 90.00 90.00
Last column: nearest neighbours and their distance in Å.
Space group P4/mmm (No. 123)
Unique sites:
Hf1 0.0000 0.5000 0.0000 x2  2 Al 2.43
Be1 0.0000 0.0000 0.5000 x1  8 Hf 3.24, 4 Ru 3.44
Al1 0.5000 0.5000 0.0000 x1  2 Ru 2.14
Ru1 0.5000 0.5000 0.5000 x1  2 Al 2.14



Entry 7:
The following is a GGA-PBEsol calculation of a relaxed YSc2ReAu crystal, from Alexandria via LeMat-Bulk.

**Formation energy**: 310 meV/atom
**Crystal system**: tetragonal
**Calculated total energy**: -7.1476 eV/atom
**Total magnetic moment**: 0.000 μB/cell

a b c (Å): 4.8447 4.8447 5.2003
angles (deg): 90.00 90.00 90.00
Last column: nearest neighbours and their distance in Å.
Space group P4/mmm (No. 123)
Unique sites:
Y1 0.0000 0.0000 0.0000 x1  4 Au 3.43, 8 Sc 3.55
Sc1 0.0000 0.5000 0.5000 x2  2 Re 2.42
Re1 0.5000 0.5000 0.5000 x1  4 Sc 2.42, 2 Au 2.60
Au1 0.5000 0.5000 0.0000 x1  2 Re 2.60



Entry 8:
The following is a GGA-PBEsol calculation of a relaxed Ca2ZrCd crystal, from Alexandria via LeMat-Bulk.

**Formation energy**: 191 meV/atom
**Crystal system**: orthorhombic
**Calculated total energy**: -3.4474 eV/atom
**Total magnetic moment**: 0.003 μB/cell

a b c (Å): 3.7360 5.2181 10.8415
angles (deg): 90.00 90.00 90.00
Last column: nearest neighbours and their distance in Å.
Space group Immm (No. 71)
Unique sites:
Ca1 0.0000 0.0000 0.2316 x4  2 Cd 3.13, 4 Ca 3.23, 2 Zr 3.46
Zr1 0.0000 0.5000 0.0000 x2  4 Cd 3.21, 4 Ca 3.46
Cd1 0.0000 0.5000 0.5000 x2  4 Ca 3.13, 4 Zr 3.21



Entry 9:
The following is a GGA-PBEsol calculation of a relaxed Al2C3N6 crystal, from Alexandria via LeMat-Bulk.

**Crystal system**: trigonal
**Formation energy without anion corrections**: -0.5021 eV per atom
**Calculated total energy**: -8.5270 eV/atom
**Total magnetic moment**: 0.000 μB/cell

a b c (Å): 5.4248 5.4248 27.5882
angles (deg): 90.00 90.00 120.00
Last column: nearest neighbours and their distance in Å.
Space group R-3c (No. 167, hexagonal axes)
Unique sites:
Al1 0.0000 0.0000 0.1652 x12  6 N 1.98-2.03
C1 0.0000 0.3125 0.2500 x18  2 N 1.23
N1 0.0007 0.3885 0.5399 x36  1 C 1.23



Entry 10:
The following is a GGA-PBEsol calculation of a relaxed MgZn8 crystal, from Alexandria via LeMat-Bulk.

**Formation energy**: -2 meV/atom
**Crystal system**: tetragonal
**Calculated total energy**: -1.5993 eV/atom
**Total magnetic moment**: 0.000 μB/cell

a b c (Å): 8.2931 8.2931 3.8730
angles (deg): 90.00 90.00 90.00
Last column: nearest neighbours and their distance in Å.
Space group I4/mmm (No. 139)
Unique sites:
Mg1 0.0000 0.0000 0.0000 x2  12 Zn 2.80-2.81
Zn1 0.0000 0.3383 0.0000 x8  11 Zn 2.68-2.77, 1 Mg 2.81
Zn2 0.1723 0.1723 0.5000 x8  10 Zn 2.66-2.86, 2 Mg 2.80



Entry 11:
The following is a GGA-PBEsol calculation of a relaxed NaPt2 crystal, from Alexandria via LeMat-Bulk.

**Formation energy**: -78 meV/atom
**Crystal system**: monoclinic
**Energy above the lowest structure with this stoichiometry**: 0.216 eV per atom
**Calculated total energy**: -5.1867 eV/atom
**Total magnetic moment**: 0.000 μB/cell

a b c (Å): 10.5176 2.7133 6.9390
angles (deg): 90.00 108.51 90.00
Last column: nearest neighbours and their distance in Å.
Space group Cm (No. 8)
Unique sites:
Na1 0.0000 0.0000 0.0000 x2  4 Na 2.71-2.77, 6 Pt 2.73-2.91
Na2 0.1519 0.5000 0.3447 x2  4 Na 2.71-2.77, 7 Pt 2.74-2.88
Pt1 0.0446 0.0000 0.6259 x2  9 Pt 2.71-2.86, 3 Na 2.78-2.88
Pt2 0.2315 0.5000 0.9468 x2  8 Pt 2.71-2.81, 3 Na 2.73-2.91
Pt3 0.3234 0.0000 0.6660 x2  8 Pt 2.71-2.86, 4 Na 2.74-2.82
Pt4 0.3740 0.0000 0.2877 x2  7 Pt 2.71-2.84, 3 Na 2.82-2.84



Entry 12:
The following is a GGA-PBEsol calculation of a relaxed ZrHgPb2 crystal, from Alexandria via LeMat-Bulk.

**Formation energy**: -94 meV/atom
**Crystal system**: monoclinic
**Calculated total energy**: -4.5079 eV/atom
**Total magnetic moment**: 0.000 μB/cell

a b c (Å): 11.5015 3.2897 5.4471
angles (deg): 90.00 111.03 90.00
Last column: nearest neighbours and their distance in Å.
Space group Cm (No. 8)
Unique sites:
Zr1 0.0000 0.0000 0.0000 x2  2 Hg 3.04, 7 Pb 3.13-3.26, 2 Zr 3.29
Hg1 0.2828 0.0000 0.6419 x2  2 Zr 3.04, 7 Pb 3.15-3.22, 2 Hg 3.29
Pb1 0.0265 0.5000 0.5060 x2  4 Zr 3.13-3.26, 3 Hg 3.15-3.22, 3 Pb 3.29-3.40
Pb2 0.2496 0.5000 0.1171 x2  3 Zr 3.17, 4 Hg 3.20, 5 Pb 3.29-3.54



> Number 8 is which compound?

Ca2ZrCd



> Which value of calculated total energy does entry 10 give?

-1.5993 eV/atom